# BeTlW4, relaxed, DFT GGA-PBE
# energy of formation = 1.00 eV/atom
# volume = 18.0 A^3/atom
# energy = -207.55 eV per cell
data_BeTlW4
_chemical_formula_sum 'Be4 Tl4 W16'
_space_group_name_H-M_alt 'F -4 3 m'
_space_group_IT_number 216
_space_group_name_Hall 'F -4 2 3'
_cell_length_a 7.559
_cell_length_b 7.559
_cell_length_c 7.559
_cell_angle_alpha 90.00
_cell_angle_beta 90.00
_cell_angle_gamma 90.00
loop_
_atom_site_label
_atom_site_type_symbol
_atom_site_fract_x
_atom_site_fract_y
_atom_site_fract_z
_atom_site_occupancy
Be1 Be 0.000 0.000 0.000 1
Tl1 Tl 0.250 0.250 0.750 1
W1 W 0.126 0.126 0.374 1


# PrZrRh, relaxed, DFT GGA-PBE
# energy of formation = -0.37 eV/atom
# volume = 23.8 A^3/atom
# excess energy over the best structure of this formula in the dataset = 17.58 kJ per mole of atoms
# energy = -43.60 eV per cell
data_PrZrRh
_chemical_formula_sum 'Pr2 Zr2 Rh2'
_space_group_name_H-M_alt 'I 4 m m'
_space_group_IT_number 107
_space_group_name_Hall 'I 4 -2'
_cell_length_a 3.448
_cell_length_b 3.448
_cell_length_c 11.988
_cell_angle_alpha 90.00
_cell_angle_beta 90.00
_cell_angle_gamma 90.00
loop_
_atom_site_label
_atom_site_type_symbol
_atom_site_fract_x
_atom_site_fract_y
_atom_site_fract_z
_atom_site_occupancy
Pr1 Pr 0.000 0.000 0.000 1
Zr1 Zr 0.000 0.000 0.283 1
Rh1 Rh 0.000 0.000 0.681 1


# BeSbTe2Mo, relaxed, DFT GGA-PBE
# volume = 29.6 A^3/atom
# excess energy over the best structure of this formula in the dataset = 2.67 kJ per mole of atoms
# ΔE_f (raw) = 0.952 eV per atom
# energy = -20.20 eV per cell
data_BeSbTe2Mo
_chemical_formula_sum 'Be1 Sb1 Te2 Mo1'
_space_group_name_H-M_alt 'P 4/m m m'
_space_group_IT_number 123
_space_group_name_Hall '-P 4 2'
_cell_length_a 5.273
_cell_length_b 5.273
_cell_length_c 5.317
_cell_angle_alpha 90.00
_cell_angle_beta 90.00
_cell_angle_gamma 90.00
loop_
_atom_site_label
_atom_site_type_symbol
_atom_site_fract_x
_atom_site_fract_y
_atom_site_fract_z
_atom_site_occupancy
Be1 Be 0.000 0.000 0.000 1
Sb1 Sb 0.500 0.500 0.000 1
Te1 Te 0.000 0.500 0.500 1
Mo1 Mo 0.500 0.500 0.500 1


# Pr2Mn4Co13, relaxed, DFT GGA-PBE
# energy of formation = 0.02 eV/atom
# volume = 13.5 A^3/atom
# energy = -414.87 eV per cell
data_Pr2Mn4Co13
_chemical_formula_sum 'Pr6 Mn12 Co39'
_space_group_name_H-M_alt 'R 3 m'
_space_group_IT_number 160
_space_group_name_Hall 'R 3 -2"'
_cell_length_a 8.4544
_cell_length_b 8.4544
_cell_length_c 12.3953
_cell_angle_alpha 90.00
_cell_angle_beta 90.00
_cell_angle_gamma 120.00
loop_
_atom_site_label
_atom_site_type_symbol
_atom_site_fract_x
_atom_site_fract_y
_atom_site_fract_z
_atom_site_occupancy
Pr1 Pr 0.0000 0.0000 0.0000 1
Pr2 Pr 0.0000 0.0000 0.3171 1
Mn1 Mn 0.0000 0.0000 0.7518 1
Mn2 Mn 0.0075 0.5038 0.1572 1
Co1 Co 0.0000 0.0000 0.5608 1
Co2 Co 0.0001 0.2853 0.6575 1
Co3 Co 0.9999 0.5000 0.5003 1
Co4 Co 0.0024 0.5012 0.8167 1


# HfMoAs, relaxed, DFT GGA-PBE
# energy of formation = -0.41 eV/atom
# volume = 18.0 A^3/atom
# energy = -106.70 eV per cell
data_HfMoAs
_chemical_formula_sum 'Hf4 Mo4 As4'
_space_group_name_H-M_alt 'P m c 21'
_space_group_IT_number 26
_cell_length_a 3.408
_cell_length_b 9.128
_cell_length_c 6.946
_cell_angle_alpha 90.00
_cell_angle_beta 90.00
_cell_angle_gamma 90.00
loop_
_space_group_symop_operation_xyz
'x,y,z'
'-x,-y,z+1/2'
'-x,y,z'
'x,-y,z+1/2'
loop_
_atom_site_label
_atom_site_type_symbol
_atom_site_fract_x
_atom_site_fract_y
_atom_site_fract_z
_atom_site_occupancy
Hf1 Hf 0.000 0.060 0.000 1
Hf2 Hf 0.000 0.347 0.612 1
Mo1 Mo 0.500 0.173 0.320 1
Mo2 Mo 0.500 0.322 0.982 1
As1 As 0.500 0.119 0.702 1
As2 As 0.500 0.444 0.302 1


# CsAs3Pb, relaxed, DFT GGA-PBE
# energy of formation = 0.53 eV/atom
# volume = 35.3 A^3/atom
# excess energy over the best structure of this formula in the dataset = 0.00 kJ per mole of atoms
# energy = -15.87 eV per cell
data_CsAs3Pb
_chemical_formula_sum 'Cs1 As3 Pb1'
_space_group_name_H-M_alt 'P m -3 m'
_space_group_IT_number 221
_space_group_name_Hall '-P 4 2 3'
_cell_length_a 5.607
_cell_length_b 5.607
_cell_length_c 5.607
_cell_angle_alpha 90.00
_cell_angle_beta 90.00
_cell_angle_gamma 90.00
loop_
_atom_site_label
_atom_site_type_symbol
_atom_site_fract_x
_atom_site_fract_y
_atom_site_fract_z
_atom_site_occupancy
Cs1 Cs 0.000 0.000 0.000 1
As1 As 0.000 0.500 0.500 1
Pb1 Pb 0.500 0.500 0.500 1


# MgSi2Tc, relaxed, DFT GGA-PBE
# volume = 15.9 A^3/atom
# ΔE_f (raw) = -0.180 eV per atom
# energy = -47.05 eV per cell
data_MgSi2Tc
_chemical_formula_sum 'Mg2 Si4 Tc2'
_space_group_name_H-M_alt 'C 1 2/m 1'
_space_group_IT_number 12
_cell_length_a 8.138
_cell_length_b 3.121
_cell_length_c 5.123
_cell_angle_alpha 90.00
_cell_angle_beta 101.40
_cell_angle_gamma 90.00
loop_
_space_group_symop_operation_xyz
'x,y,z'
'-x,-y,-z'
'-x,y,-z'
'x,-y,z'
'x+1/2,y+1/2,z'
'-x+1/2,-y+1/2,-z'
'-x+1/2,y+1/2,-z'
'x+1/2,-y+1/2,z'
loop_
_atom_site_label
_atom_site_type_symbol
_atom_site_fract_x
_atom_site_fract_y
_atom_site_fract_z
_atom_site_occupancy
Mg1 Mg 0.000 0.000 0.000 1
Si1 Si 0.235 0.000 0.683 1
Tc1 Tc 0.000 0.500 0.500 1


# NaSeSBr2, relaxed, DFT GGA-PBE
# volume = 34.7 A^3/atom
# excess energy over the best structure of this formula in the dataset = 68.82 kJ per mole of atoms
# ΔE_f (raw) = 0.535 eV per atom
# energy = -9.60 eV per cell
data_NaSeSBr2
_chemical_formula_sum 'Na1 Se1 S1 Br2'
_space_group_name_H-M_alt 'P 4/m m m'
_space_group_IT_number 123
_space_group_name_Hall '-P 4 2'
_cell_length_a 5.544
_cell_length_b 5.544
_cell_length_c 5.643
_cell_angle_alpha 90.00
_cell_angle_beta 90.00
_cell_angle_gamma 90.00
loop_
_atom_site_label
_atom_site_type_symbol
_atom_site_fract_x
_atom_site_fract_y
_atom_site_fract_z
_atom_site_occupancy
Na1 Na 0.000 0.000 0.000 1
Se1 Se 0.000 0.000 0.500 1
S1 S 0.500 0.500 0.500 1
Br1 Br 0.000 0.500 0.000 1


# InCuTe2Pb, relaxed, DFT GGA-PBE
# volume = 37.8 A^3/atom
# ΔE_f (raw) = 0.810 eV per atom
# energy = -12.78 eV per cell
data_InCuTe2Pb
_chemical_formula_sum 'In1 Cu1 Te2 Pb1'
_space_group_name_H-M_alt 'P 4/m m m'
_space_group_IT_number 123
_space_group_name_Hall '-P 4 2'
_cell_length_a 5.728
_cell_length_b 5.728
_cell_length_c 5.763
_cell_angle_alpha 90.00
_cell_angle_beta 90.00
_cell_angle_gamma 90.00
loop_
_atom_site_label
_atom_site_type_symbol
_atom_site_fract_x
_atom_site_fract_y
_atom_site_fract_z
_atom_site_occupancy
In1 In 0.000 0.000 0.000 1
Cu1 Cu 0.500 0.500 0.500 1
Te1 Te 0.000 0.500 0.000 1
Pb1 Pb 0.000 0.000 0.500 1


# Cr5As3, relaxed, DFT GGA-PBE
# energy of formation = 0.01 eV/atom
# volume = 14.0 A^3/atom
# excess energy over the best structure of this formula in the dataset = 0.00 kJ per mole of atoms
# energy = -123.92 eV per cell
data_Cr5As3
_chemical_formula_sum 'Cr10 As6'
_space_group_name_H-M_alt 'P 63/m c m'
_space_group_IT_number 193
_space_group_name_Hall '-P 6c 2'
_cell_length_a 7.1841
_cell_length_b 7.1841
_cell_length_c 4.9994
_cell_angle_alpha 90.00
_cell_angle_beta 90.00
_cell_angle_gamma 120.00
loop_
_atom_site_label
_atom_site_type_symbol
_atom_site_fract_x
_atom_site_fract_y
_atom_site_fract_z
_atom_site_occupancy
Cr1 Cr 0.0000 0.2757 0.2500 1
Cr2 Cr 0.3333 0.6667 0.0000 1
As1 As 0.0000 0.3757 0.7500 1


# Tb3In5S12, relaxed, DFT GGA-PBE
# volume = 23.1 A^3/atom
# excess energy over the best structure of this formula in the dataset = 0.00 kJ per mole of atoms
# ΔE_f (raw) = -1.116 eV per atom
# energy = -198.86 eV per cell
data_Tb3In5S12
_chemical_formula_sum 'Tb6 In10 S24'
_space_group_name_H-M_alt 'P 1 21/m 1'
_space_group_IT_number 11
_cell_length_a 11.009
_cell_length_b 3.922
_cell_length_c 21.476
_cell_angle_alpha 90.00
_cell_angle_beta 95.79
_cell_angle_gamma 90.00
loop_
_space_group_symop_operation_xyz
'x,y,z'
'-x,-y,-z'
'-x,y+1/2,-z'
'x,-y+1/2,z'
loop_
_atom_site_label
_atom_site_type_symbol
_atom_site_fract_x
_atom_site_fract_y
_atom_site_fract_z
_atom_site_occupancy
Tb1 Tb 0.029 0.250 0.412 1
Tb2 Tb 0.085 0.750 0.764 1
Tb3 Tb 0.286 0.750 0.285 1
In1 In 0.168 0.750 0.114 1
In2 In 0.238 0.250 0.940 1
In3 In 0.349 0.750 0.472 1
In4 In 0.350 0.250 0.666 1
In5 In 0.454 0.750 0.825 1
S1 S 0.037 0.750 0.316 1
S2 S 0.059 0.250 0.858 1
S3 S 0.123 0.750 0.491 1
S4 S 0.134 0.250 0.038 1
S5 S 0.164 0.250 0.211 1
S6 S 0.201 0.750 0.651 1
S7 S 0.278 0.250 0.387 1
S8 S 0.289 0.250 0.782 1
S9 S 0.379 0.750 0.937 1
S10 S 0.392 0.750 0.161 1
S11 S 0.421 0.250 0.552 1
S12 S 0.486 0.250 0.291 1


# Co2CuHg, relaxed, DFT GGA-PBE
# energy of formation = 0.41 eV/atom
# volume = 13.8 A^3/atom
# energy = -67.93 eV per cell
data_Co2CuHg
_chemical_formula_sum 'Co8 Cu4 Hg4'
_space_group_name_H-M_alt 'F -4 3 m'
_space_group_IT_number 216
_space_group_name_Hall 'F -4 2 3'
_cell_length_a 6.041
_cell_length_b 6.041
_cell_length_c 6.041
_cell_angle_alpha 90.00
_cell_angle_beta 90.00
_cell_angle_gamma 90.00
loop_
_atom_site_label
_atom_site_type_symbol
_atom_site_fract_x
_atom_site_fract_y
_atom_site_fract_z
_atom_site_occupancy
Co1 Co 0.000 0.000 0.000 1
Co2 Co 0.250 0.250 0.250 1
Cu1 Cu 0.250 0.250 0.750 1
Hg1 Hg 0.000 0.000 0.500 1